[1]
Computed, not measured: a relaxed BaLuPd2 crystal at the GGA-PBE level of DFT.

Results
Energy of formation from the pure elements: -0.663 eV per atom
Energy above the most stable polymorph in this dataset: 55.2 meV per atom
Energy: -58.4 eV per cell
Total moment: 0.000 μB/f.u.

abc: 4.6892 4.6892 17.6208
angles: 90.00 90.00 120.00
Space group R-3m (No. 166, hexagonal axes)
Asymmetric unit:
Ba (0.0000, 0.0000, 0.0000) [3 per cell]
Lu (0.0000, 0.0000, 0.5000) [3 per cell]
Pd (0.0000, 0.0000, 0.2080) [6 per cell]



[2]
Computed, not measured: a relaxed BaPmLu2 crystal at the GGA-PBE level of DFT.

Results
Energy of formation from the pure elements: 0.184 eV per atom
Energy above the most stable polymorph in this dataset: 0.0 meV per atom
Energy: -15.0 eV per cell
Total moment: 0.001 μB/f.u.

abc: 3.697 3.697 10.617
angles: 90.00 90.00 90.00
Space group P4/mmm (No. 123)
Asymmetric unit:
Ba (0.000, 0.000, 0.000) [1 per cell]
Pm (0.000, 0.000, 0.500) [1 per cell]
Lu (0.500, 0.500, 0.282) [2 per cell]



[3]
Computed, not measured: a relaxed BaPmLu2 crystal at the GGA-PBE level of DFT.

Results
Energy of formation from the pure elements: 0.258 eV per atom
Energy above the most stable polymorph in this dataset: 74.2 meV per atom
Energy: -44.1 eV per cell
Total moment: 0.115 μB/f.u.

abc: 3.5841 3.5841 38.3199
angles: 90.00 90.00 120.00
Space group R-3m (No. 166, hexagonal axes)
Asymmetric unit:
Ba (0.0000, 0.0000, 0.0000) [3 per cell]
Pm (0.0000, 0.0000, 0.5000) [3 per cell]
Lu (0.0000, 0.0000, 0.0934) [6 per cell]



[4]
Computed, not measured: a relaxed BaPm2Lu crystal at the GGA-PBE level of DFT.

Results
Energy of formation from the pure elements: 0.211 eV per atom
Energy above the most stable polymorph in this dataset: 77.8 meV per atom
Energy: -45.3 eV per cell
Total moment: 0.001 μB/f.u.

abc: 3.6439 3.6439 38.8958
angles: 90.00 90.00 120.00
Space group R-3m (No. 166, hexagonal axes)
Asymmetric unit:
Ba (0.0000, 0.0000, 0.0000) [3 per cell]
Pm (0.0000, 0.0000, 0.0944) [6 per cell]
Lu (0.0000, 0.0000, 0.5000) [3 per cell]



[5]
Computed, not measured: a relaxed BaPm2Lu crystal at the GGA-PBE level of DFT.

Results
Energy of formation from the pure elements: 0.133 eV per atom
Energy above the most stable polymorph in this dataset: 0.0 meV per atom
Energy: -15.4 eV per cell
Total moment: 0.000 μB/f.u.

abc: 4.005 4.005 9.701
angles: 90.00 90.00 90.00
Space group P4/mmm (No. 123)
Asymmetric unit:
Ba (0.000, 0.000, 0.000) [1 per cell]
Pm (0.500, 0.500, 0.301) [2 per cell]
Lu (0.000, 0.000, 0.500) [1 per cell]



[6]
Computed, not measured: a relaxed BaPrLu2 crystal at the GGA-PBE level of DFT.

Results
Energy of formation from the pure elements: 0.184 eV per atom
Energy above the most stable polymorph in this dataset: 0.0 meV per atom
Energy: -15.0 eV per cell
Total moment: 0.001 μB/f.u.

abc: 3.728 3.728 10.608
angles: 90.00 90.00 90.00
Space group P4/mmm (No. 123)
Asymmetric unit:
Ba (0.000, 0.000, 0.000) [1 per cell]
Pr (0.000, 0.000, 0.500) [1 per cell]
Lu (0.500, 0.500, 0.280) [2 per cell]